<P>
Ca3YO: relaxed, PBE-GGA.

Unit cell a=5.137 b=5.137 c=5.137 alpha=90.00 beta=90.00 gamma=90.00
Atoms (fractional coordinates):
Ca1 0.000 0.000 0.500
Ca2 0.000 0.500 0.000
Ca3 0.500 0.000 0.000
Y1 0.500 0.500 0.500
O1 0.000 0.000 0.000

Values from the calculation:
* crystal system: cubic

<Q>
Ca3YO: relaxed, PBE-GGA.

Unit cell a=6.152 b=6.152 c=6.152 alpha=90.00 beta=90.00 gamma=90.00
Atoms (fractional coordinates):
Ca1 0.000 0.000 0.500
Ca2 0.000 0.500 0.000
Ca3 0.500 0.000 0.000
Y1 0.000 0.000 0.000
O1 0.500 0.500 0.500

Values from the calculation:
* crystal system: cubic

Stability, highest: <P>

<P>
CaYO: relaxed, PBE-GGA.

Unit cell a=13.187 b=3.903 c=6.358 alpha=90.00 beta=90.00 gamma=90.00
Atoms (fractional coordinates):
Ca1 0.201 0.250 0.227
Ca2 0.299 0.750 0.727
Ca3 0.701 0.250 0.273
Ca4 0.799 0.750 0.773
Y1 0.031 0.250 0.716
Y2 0.469 0.750 0.216
Y3 0.531 0.250 0.784
Y4 0.969 0.750 0.284
O1 0.041 0.250 0.363
O2 0.459 0.750 0.863
O3 0.541 0.250 0.137
O4 0.959 0.750 0.637

Values from the calculation:
* crystal system: orthorhombic

<Q>
CaYO: relaxed, PBE-GGA.

Unit cell a=3.493 b=3.493 c=6.008 alpha=90.00 beta=90.00 gamma=120.00
Atoms (fractional coordinates):
Ca1 0.000 0.000 0.000
Y1 0.667 0.333 0.531
O1 0.333 0.667 0.768

Values from the calculation:
* crystal system: trigonal

Stability, highest: <P>